Model P:
# PBE Ac6Si2Hg, relaxed
# total magnetic moment	0.00	μB/cell
# theoretical density	8.31	Mg/m³
data_Ac6Si2Hg
_chemical_formula_sum 'Ac6 Si2 Hg1'
_space_group_name_H-M_alt 'P 1'
_space_group_IT_number 1
_cell_length_a 7.095
_cell_length_b 7.095
_cell_length_c 10.166
_cell_angle_alpha 122.62
_cell_angle_beta 122.62
_cell_angle_gamma 52.23
loop_
_space_group_symop_operation_xyz
'x,y,z'
loop_
_atom_site_label
_atom_site_fract_x
_atom_site_fract_y
_atom_site_fract_z
Ac1 0.083 0.083 0.381
Ac2 0.342 0.342 0.316
Ac3 0.342 0.342 0.946
Ac4 0.658 0.658 0.054
Ac5 0.658 0.658 0.684
Ac6 0.917 0.917 0.619
Si1 0.398 0.398 0.675
Si2 0.602 0.602 0.325
Hg1 0.000 0.000 0.000



Model Q:
# PBE Ac6Si2Hg, relaxed
# total magnetic moment	0.00	μB/cell
# theoretical density	8.46	Mg/m³
data_Ac6Si2Hg
_chemical_formula_sum 'Ac12 Si4 Hg2'
_space_group_name_H-M_alt 'P 1'
_space_group_IT_number 1
_cell_length_a 9.381
_cell_length_b 9.381
_cell_length_c 9.381
_cell_angle_alpha 110.76
_cell_angle_beta 109.88
_cell_angle_gamma 107.78
loop_
_space_group_symop_operation_xyz
'x,y,z'
loop_
_atom_site_label
_atom_site_fract_x
_atom_site_fract_y
_atom_site_fract_z
Ac1 0.042 0.244 0.798
Ac2 0.176 0.271 0.448
Ac3 0.176 0.729 0.905
Ac4 0.323 0.026 0.703
Ac5 0.323 0.620 0.297
Ac6 0.446 0.244 0.202
Ac7 0.554 0.756 0.798
Ac8 0.677 0.380 0.703
Ac9 0.677 0.974 0.297
Ac10 0.824 0.271 0.095
Ac11 0.824 0.729 0.552
Ac12 0.958 0.756 0.202
Si1 0.109 0.609 0.500
Si2 0.375 0.000 0.375
Si3 0.625 0.000 0.625
Si4 0.891 0.391 0.500
Hg1 0.000 0.000 0.000
Hg2 0.500 0.500 0.000



Energy above the most stable structure, in kJ/mol of atoms: model P 11.0; model Q 0.0



Model P:
# PBE Ac2Si2Hg, relaxed
# total magnetic moment	0.00	μB/cell
# theoretical density	8.24	Mg/m³
data_Ac2Si2Hg
_chemical_formula_sum 'Ac4 Si4 Hg2'
_space_group_name_H-M_alt 'P 1'
_space_group_IT_number 1
_cell_length_a 8.138
_cell_length_b 8.138
_cell_length_c 4.327
_cell_angle_alpha 90.00
_cell_angle_beta 90.00
_cell_angle_gamma 90.00
loop_
_space_group_symop_operation_xyz
'x,y,z'
loop_
_atom_site_label
_atom_site_fract_x
_atom_site_fract_y
_atom_site_fract_z
Ac1 0.188 0.312 0.000
Ac2 0.312 0.812 0.000
Ac3 0.688 0.188 0.000
Ac4 0.812 0.688 0.000
Si1 0.102 0.602 0.500
Si2 0.398 0.102 0.500
Si3 0.602 0.898 0.500
Si4 0.898 0.398 0.500
Hg1 0.000 0.000 0.500
Hg2 0.500 0.500 0.500



Model Q:
# PBE Ac2Si2Hg, relaxed
# total magnetic moment	0.00	μB/cell
# theoretical density	8.37	Mg/m³
data_Ac2Si2Hg
_chemical_formula_sum 'Ac4 Si4 Hg2'
_space_group_name_H-M_alt 'P 1'
_space_group_IT_number 1
_cell_length_a 3.997
_cell_length_b 16.096
_cell_length_c 4.381
_cell_angle_alpha 90.00
_cell_angle_beta 90.00
_cell_angle_gamma 90.00
loop_
_space_group_symop_operation_xyz
'x,y,z'
loop_
_atom_site_label
_atom_site_fract_x
_atom_site_fract_y
_atom_site_fract_z
Ac1 0.000 0.134 0.000
Ac2 0.000 0.866 0.000
Ac3 0.500 0.366 0.000
Ac4 0.500 0.634 0.000
Si1 0.000 0.291 0.500
Si2 0.000 0.709 0.500
Si3 0.500 0.209 0.500
Si4 0.500 0.791 0.500
Hg1 0.000 0.500 0.500
Hg2 0.500 0.000 0.500



Energy above the most stable structure, in kJ/mol of atoms: model P 5.8; model Q 0.0



Model P:
# PBE Ac3SmHg6, relaxed
# total magnetic moment	0.00	μB/cell
# theoretical density	8.63	Mg/m³
data_Ac3SmHg6
_chemical_formula_sum 'Ac3 Sm1 Hg6'
_space_group_name_H-M_alt 'P 1'
_space_group_IT_number 1
_cell_length_a 8.212
_cell_length_b 8.212
_cell_length_c 8.212
_cell_angle_alpha 60.00
_cell_angle_beta 60.00
_cell_angle_gamma 60.00
loop_
_space_group_symop_operation_xyz
'x,y,z'
loop_
_atom_site_label
_atom_site_fract_x
_atom_site_fract_y
_atom_site_fract_z
Ac1 0.000 0.000 0.000
Ac2 0.250 0.250 0.250
Ac3 0.750 0.750 0.750
Sm1 0.500 0.500 0.500
Hg1 0.256 0.256 0.744
Hg2 0.256 0.744 0.256
Hg3 0.256 0.744 0.744
Hg4 0.744 0.256 0.256
Hg5 0.744 0.256 0.744
Hg6 0.744 0.744 0.256



Model Q:
# PBE Ac3SmHg6, relaxed
# total magnetic moment	0.00	μB/cell
# theoretical density	11.16	Mg/m³
data_Ac3SmHg6
_chemical_formula_sum 'Ac6 Sm2 Hg12'
_space_group_name_H-M_alt 'P 1'
_space_group_IT_number 1
_cell_length_a 9.894
_cell_length_b 5.441
_cell_length_c 11.903
_cell_angle_alpha 90.00
_cell_angle_beta 109.03
_cell_angle_gamma 90.00
loop_
_space_group_symop_operation_xyz
'x,y,z'
loop_
_atom_site_label
_atom_site_fract_x
_atom_site_fract_y
_atom_site_fract_z
Ac1 0.008 0.250 0.380
Ac2 0.154 0.750 0.218
Ac3 0.279 0.250 0.989
Ac4 0.721 0.750 0.011
Ac5 0.846 0.250 0.782
Ac6 0.992 0.750 0.620
Sm1 0.439 0.250 0.594
Sm2 0.561 0.750 0.406
Hg1 0.031 0.750 0.918
Hg2 0.180 0.250 0.694
Hg3 0.267 0.750 0.512
Hg4 0.356 0.750 0.820
Hg5 0.368 0.250 0.309
Hg6 0.451 0.750 0.126
Hg7 0.549 0.250 0.874
Hg8 0.632 0.750 0.691
Hg9 0.644 0.250 0.180
Hg10 0.733 0.250 0.488
Hg11 0.820 0.750 0.306
Hg12 0.969 0.250 0.082



Energy above the most stable structure, in kJ/mol of atoms: model P 55.8; model Q 0.0



Model P:
# PBE AcSm2Hg3, relaxed
# total magnetic moment	2.11	μB/cell
# theoretical density	10.70	Mg/m³
data_AcSm2Hg3
_chemical_formula_sum 'Ac2 Sm4 Hg6'
_space_group_name_H-M_alt 'P 1'
_space_group_IT_number 1
_cell_length_a 8.651
_cell_length_b 8.651
_cell_length_c 7.827
_cell_angle_alpha 90.00
_cell_angle_beta 90.00
_cell_angle_gamma 143.25
loop_
_space_group_symop_operation_xyz
'x,y,z'
loop_
_atom_site_label
_atom_site_fract_x
_atom_site_fract_y
_atom_site_fract_z
Ac1 0.164 0.836 0.000
Ac2 0.836 0.164 0.000
Sm1 0.170 0.830 0.500
Sm2 0.500 0.500 0.000
Sm3 0.500 0.500 0.500
Sm4 0.830 0.170 0.500
Hg1 0.000 0.000 0.269
Hg2 0.000 0.000 0.731
Hg3 0.338 0.662 0.269
Hg4 0.338 0.662 0.731
Hg5 0.662 0.338 0.269
Hg6 0.662 0.338 0.731



Model Q:
# PBE AcSm2Hg3, relaxed
# total magnetic moment	1.06	μB/cell
# theoretical density	10.72	Mg/m³
data_AcSm2Hg3
_chemical_formula_sum 'Ac1 Sm2 Hg3'
_space_group_name_H-M_alt 'P 1'
_space_group_IT_number 1
_cell_length_a 3.867
_cell_length_b 3.867
_cell_length_c 11.699
_cell_angle_alpha 90.00
_cell_angle_beta 90.00
_cell_angle_gamma 90.00
loop_
_space_group_symop_operation_xyz
'x,y,z'
loop_
_atom_site_label
_atom_site_fract_x
_atom_site_fract_y
_atom_site_fract_z
Ac1 0.000 0.000 0.000
Sm1 0.000 0.000 0.341
Sm2 0.000 0.000 0.659
Hg1 0.500 0.500 0.188
Hg2 0.500 0.500 0.500
Hg3 0.500 0.500 0.812



Energy above the most stable structure, in kJ/mol of atoms: model P 0.5; model Q 0.0



Model P:
# PBE Ac4SmHg, relaxed
# total magnetic moment	0.00	μB/cell
# theoretical density	8.90	Mg/m³
data_Ac4SmHg
_chemical_formula_sum 'Ac4 Sm1 Hg1'
_space_group_name_H-M_alt 'P 1'
_space_group_IT_number 1
_cell_length_a 3.970
_cell_length_b 3.970
_cell_length_c 14.912
_cell_angle_alpha 90.00
_cell_angle_beta 90.00
_cell_angle_gamma 90.00
loop_
_space_group_symop_operation_xyz
'x,y,z'
loop_
_atom_site_label
_atom_site_fract_x
_atom_site_fract_y
_atom_site_fract_z
Ac1 0.000 0.000 0.139
Ac2 0.000 0.000 0.861
Ac3 0.500 0.500 0.329
Ac4 0.500 0.500 0.671
Sm1 0.000 0.000 0.500
Hg1 0.500 0.500 0.000



Model Q:
# PBE Ac4SmHg, relaxed
# total magnetic moment	0.00	μB/cell
# theoretical density	7.93	Mg/m³
data_Ac4SmHg
_chemical_formula_sum 'Ac4 Sm1 Hg1'
_space_group_name_H-M_alt 'P 1'
_space_group_IT_number 1
_cell_length_a 5.725
_cell_length_b 5.725
_cell_length_c 8.040
_cell_angle_alpha 90.00
_cell_angle_beta 90.00
_cell_angle_gamma 90.00
loop_
_space_group_symop_operation_xyz
'x,y,z'
loop_
_atom_site_label
_atom_site_fract_x
_atom_site_fract_y
_atom_site_fract_z
Ac1 0.000 0.500 0.242
Ac2 0.000 0.500 0.758
Ac3 0.500 0.000 0.242
Ac4 0.500 0.000 0.758
Sm1 0.000 0.000 0.500
Hg1 0.500 0.500 0.000



Energy above the most stable structure, in kJ/mol of atoms: model P 0.0; model Q 32.3